1.
# Ta2CrP6

A geometry-optimized Ta2CrP6 structure (PBE, the Alexandria database).

## Properties
Energy above the lowest structure with this stoichiometry   202.3 meV/atom
D(E_F)   0.599 states/eV/atom
DFT formation energy   -84 meV/atom

Lattice parameters (Å, degrees): 6.0511 6.0511 9.3033 90.00 90.00 90.00
Atoms (fractional coordinates):
1 P 0.7797 0.2203 0.5000
2 P 0.2797 0.2797 0.0000
3 P 0.7086 0.7086 0.3501
4 P 0.2914 0.2914 0.3501
5 P 0.7914 0.2086 0.1499
6 P 0.2203 0.7797 0.5000
7 P 0.7914 0.2086 0.8501
8 P 0.7086 0.7086 0.6499
9 P 0.2086 0.7914 0.1499
10 P 0.2086 0.7914 0.8501
11 P 0.7203 0.7203 0.0000
12 P 0.2914 0.2914 0.6499
13 Ta 0.0000 0.0000 0.6713
14 Ta 0.5000 0.5000 0.1713
15 Ta 0.5000 0.5000 0.8287
16 Ta 0.0000 0.0000 0.3287
17 Cr 0.5000 0.5000 0.5000
18 Cr 0.0000 0.0000 0.0000


2.
# NdPuCuPt

A geometry-optimized NdPuCuPt structure (PBE, the Alexandria database).

## Properties
D(E_F)   2.835 states/eV/atom
DFT formation energy   -449 meV/atom

Lattice parameters (Å, degrees): 5.0239 5.0239 5.0239 60.00 60.00 60.00
Last column: magnetic moment on the atom in μB.
Atoms (fractional coordinates):
1 Pt 0.0000 0.0000 0.0000  -0.06
2 Pu 0.2500 0.2500 0.2500  5.30
3 Cu 0.5000 0.5000 0.5000  0.02
4 Nd 0.7500 0.7500 0.7500  0.08


3.
# NiP2Se

A geometry-optimized NiP2Se structure (PBE, the Alexandria database).

## Properties
D(E_F)   0.699 states/eV/atom
Uncorrected formation energy   2.374 eV/f.u.

Lattice parameters (Å, degrees): 4.4420 4.4420 2.9930 90.00 90.00 90.00
Atoms (fractional coordinates):
1 P 0.0000 0.0000 0.0000
2 P 0.5000 0.5000 0.0000
3 Ni 0.0000 0.5000 0.5000
4 Se 0.5000 0.0000 0.5000


4.
# Pm3Sm2Tm

A geometry-optimized Pm3Sm2Tm structure (PBE, the Alexandria database).

## Properties
Energy above the lowest structure with this stoichiometry   0.0 meV/atom
D(E_F)   1.142 states/eV/atom
DFT formation energy   -2 meV/atom

Lattice parameters (Å, degrees): 11.6896 6.2879 6.2879 120.04 90.00 90.00
Atoms (fractional coordinates):
1 Tm 0.7197 0.8334 0.8334
2 Tm 0.2197 0.1666 0.1666
3 Sm 0.2196 0.4991 0.8331
4 Sm 0.7196 0.1669 0.5009
5 Sm 0.7196 0.5009 0.1669
6 Sm 0.2196 0.8331 0.4991
7 Pm 0.4696 0.4995 0.4995
8 Pm 0.9696 0.5005 0.5005
9 Pm 0.4696 0.1645 0.8344
10 Pm 0.9696 0.8355 0.1656
11 Pm 0.4696 0.8344 0.1645
12 Pm 0.9696 0.1656 0.8355


5.
# CsGe2Ru

A geometry-optimized CsGe2Ru structure (PBE, the Alexandria database).

## Properties
Energy above the lowest structure with this stoichiometry   0.0 meV/atom
D(E_F)   0.311 states/eV/atom
DFT formation energy   -94 meV/atom

Lattice parameters (Å, degrees): 6.7488 6.7488 7.8841 64.66 64.66 90.00
Atoms (fractional coordinates):
1 Ge 0.3749 0.1250 0.2500
2 Ge 0.8750 0.6249 0.7500
3 Ge 0.3750 0.6251 0.7500
4 Ge 0.3751 0.6250 0.2500
5 Cs 0.7500 0.2500 0.5000
6 Cs 0.0000 0.0000 0.0000
7 Ru 0.5000 0.5000 0.0000
8 Ru 0.2500 0.7500 0.5000


6.
# Zr5HN

A geometry-optimized Zr5HN structure (PBE, the Alexandria database).

## Properties
D(E_F)   0.759 states/eV/atom
Uncorrected energy   -8.094 eV/atom

Lattice parameters (Å, degrees): 5.9049 5.9049 8.5260 90.76 118.09 107.53
Atoms (fractional coordinates):
1 Zr 0.4978 0.6433 0.3385
2 Zr 0.2198 0.3700 0.9592
3 Zr 0.8048 0.1594 0.1615
4 Zr 0.3211 0.0711 0.2500
5 Zr 0.6789 0.9289 0.7500
6 Zr 0.9108 0.2605 0.5408
7 Zr 0.1952 0.8406 0.8385
8 Zr 0.0892 0.7395 0.4592
9 Zr 0.5022 0.3567 0.6615
10 Zr 0.7802 0.6300 0.0408
11 H 0.5000 0.0000 0.5000
12 H 0.0000 0.0000 0.0000
13 N 0.6741 0.4241 0.2500
14 N 0.3259 0.5759 0.7500


7.
# Zr2AlP

A geometry-optimized Zr2AlP structure (PBE, the Alexandria database).

## Properties
Energy above the lowest structure with this stoichiometry   282.3 meV/atom
D(E_F)   0.561 states/eV/atom
DFT formation energy   -559 meV/atom

Lattice parameters (Å, degrees): 4.7845 4.7845 3.3799 83.65 83.65 102.75
Atoms (fractional coordinates):
1 Zr 0.0000 0.0000 0.0000
2 Zr 0.5000 0.5000 0.0000
3 Al 0.5000 0.0000 0.5000
4 P 0.0000 0.5000 0.5000


8.
# ZrCr2As

A geometry-optimized ZrCr2As structure (PBE, the Alexandria database).

## Properties
D(E_F)   1.057 states/eV/atom
DFT formation energy   56 meV/atom

Lattice parameters (Å, degrees): 4.3693 3.3150 4.5425 86.38 90.00 90.00
Atoms (fractional coordinates):
1 Zr 0.5000 0.2500 0.2500
2 As 0.5000 0.7500 0.7500
3 Cr 0.0000 0.8385 0.0295
4 Cr 0.0000 0.6615 0.4705


9.
# FeAs

A geometry-optimized FeAs structure (PBE, the Alexandria database).

## Properties
D(E_F)   0.974 states/eV/atom
DFT formation energy   132 meV/atom

Lattice parameters (Å, degrees): 4.2203 4.2203 2.9708 90.00 90.00 90.00
Last column: magnetic moment on the atom in μB.
Atoms (fractional coordinates):
1 As 0.7500 0.2500 0.0000  -0.05
2 As 0.2500 0.7500 0.0000  -0.05
3 Fe 0.2500 0.2500 0.5000  1.66
4 Fe 0.7500 0.7500 0.5000  1.66


10.
# TbAgSnAu

A geometry-optimized TbAgSnAu structure (PBE, the Alexandria database).

## Properties
D(E_F)   0.348 states/eV/atom
DFT formation energy   -535 meV/atom

Lattice parameters (Å, degrees): 4.9855 4.9855 4.9855 60.00 60.00 60.00
Atoms (fractional coordinates):
1 Tb 0.7500 0.7500 0.7500
2 Au 0.0000 0.0000 0.0000
3 Sn 0.2500 0.2500 0.2500
4 Ag 0.5000 0.5000 0.5000


11.
# YAg

A geometry-optimized YAg structure (PBE, the Alexandria database).

## Properties
D(E_F)   1.596 states/eV/atom
DFT formation energy   578 meV/atom

Lattice parameters (Å, degrees): 8.7265 8.7265 8.7265 90.00 90.00 90.00
Atoms (fractional coordinates):
1 Ag 0.8826 0.1174 0.1174
2 Ag 0.6174 0.6174 0.3826
3 Ag 0.1174 0.8826 0.1174
4 Ag 0.3826 0.6174 0.6174
5 Ag 0.8826 0.8826 0.8826
6 Ag 0.1174 0.1174 0.8826
7 Ag 0.6174 0.3826 0.6174
8 Ag 0.3826 0.3826 0.3826
9 Y 0.6979 0.3021 0.3021
10 Y 0.1979 0.1979 0.1979
11 Y 0.3021 0.6979 0.3021
12 Y 0.3021 0.3021 0.6979
13 Y 0.6979 0.6979 0.6979
14 Y 0.8021 0.1979 0.8021
15 Y 0.8021 0.8021 0.1979
16 Y 0.1979 0.8021 0.8021


12.
# ScCr2MoPb

A geometry-optimized ScCr2MoPb structure (PBE, the Alexandria database).

## Properties
D(E_F)   2.016 states/eV/atom
DFT formation energy   2090 meV/atom

Lattice parameters (Å, degrees): 4.7881 5.0568 4.7881 90.00 90.00 90.00
Atoms (fractional coordinates):
1 Pb 0.0000 0.0000 0.0000
2 Cr 0.5000 0.0000 0.0000
3 Cr 0.0000 0.0000 0.5000
4 Mo 0.0000 0.5000 0.0000
5 Sc 0.5000 0.5000 0.5000


13.
# Tl4OF2

A geometry-optimized Tl4OF2 structure (PBE, the Alexandria database).

## Properties
Energy above the lowest structure with this stoichiometry   20.5 meV/atom
Uncorrected formation energy   -8.241 eV/f.u.

Lattice parameters (Å, degrees): 3.5550 7.1491 7.7104 111.28 103.33 90.00
Atoms (fractional coordinates):
1 Tl 0.8619 0.2211 0.7238
2 Tl 0.4085 0.7580 0.8169
3 Tl 0.1381 0.7789 0.2762
4 Tl 0.5915 0.2420 0.1831
5 F 0.7692 0.8486 0.5384
6 F 0.2308 0.1514 0.4616
7 O 0.0000 0.0000 0.0000


14.
# AcZnPdPt3

A geometry-optimized AcZnPdPt3 structure (PBE, the Alexandria database).

## Properties
D(E_F)   0.699 states/eV/atom
DFT formation energy   -497 meV/atom

Lattice parameters (Å, degrees): 5.8100 6.8729 7.0202 119.31 90.00 90.00
Atoms (fractional coordinates):
1 Ac 0.2500 0.7092 0.4184
2 Ac 0.7500 0.2908 0.5816
3 Pd 0.2500 0.9360 0.8720
4 Pd 0.7500 0.0640 0.1280
5 Pt 0.5000 0.3030 0.0000
6 Pt 0.2500 0.1591 0.3182
7 Pt 0.7500 0.8409 0.6818
8 Pt 0.0000 0.3030 0.0000
9 Pt 0.5000 0.6970 0.0000
10 Pt 0.0000 0.6970 0.0000
11 Zn 0.7500 0.6376 0.2752
12 Zn 0.2500 0.3624 0.7248


15.
# TlTcRu2I

A geometry-optimized TlTcRu2I structure (PBE, the Alexandria database).

## Properties
D(E_F)   0.883 states/eV/atom
Uncorrected formation energy   10.792 eV/f.u.

Lattice parameters (Å, degrees): 4.8002 5.8079 4.8002 90.00 90.00 90.00
Last column: magnetic moment on the atom in μB.
Atoms (fractional coordinates):
1 Tl 0.0000 0.5000 0.0000  -0.02
2 Ru 0.0000 0.0000 0.5000  0.48
3 Ru 0.5000 0.0000 0.0000  0.67
4 I 0.0000 0.0000 0.0000  0.04
5 Tc 0.5000 0.5000 0.5000  3.38


16.
# AlReP

A geometry-optimized AlReP structure (PBE, the Alexandria database).

## Properties
Energy above the lowest structure with this stoichiometry   0.0 meV/atom
D(E_F)   0.415 states/eV/atom
DFT formation energy   -238 meV/atom

Lattice parameters (Å, degrees): 2.9996 2.9996 5.7121 90.00 90.00 120.00
Atoms (fractional coordinates):
1 Al 0.0000 0.0000 0.9997
2 P 0.6667 0.3333 0.3569
3 Re 0.3333 0.6667 0.6434


17.
# LaYSi2

A geometry-optimized LaYSi2 structure (PBE, the Alexandria database).

## Properties
Energy above the lowest structure with this stoichiometry   275.0 meV/atom
D(E_F)   0.699 states/eV/atom
Uncorrected formation energy   -1.969 eV/f.u.

Lattice parameters (Å, degrees): 6.0255 6.0255 6.0255 45.77 45.77 45.77
Atoms (fractional coordinates):
1 Si 0.5120 0.5120 0.5120
2 Si 0.9880 0.9880 0.9880
3 La 0.7500 0.7500 0.7500
4 Y 0.2500 0.2500 0.2500